Computed, not measured: Sr2ZnGe after structural relaxation at the GGA-PBE level of DFT.

Calculated values
polymorph energy (0 for the lowest one): 83 meV/atom
SG: P4/mmm
formation energy: -0.359 eV/atom
D(E_F): 1.46 states/eV/f.u.
DFT total energy: -10.69 eV per cell

abc: 3.848 5.499 5.499
angles: 90.00 90.00 90.00
Fractional coordinates of all 4 atoms:
Sr 0.000 0.000 0.500
Sr 0.000 0.500 0.000
Ge 0.500 0.000 0.000
Zn 0.500 0.500 0.500